# 1
First-principles (PBE) data for a geometry-optimized TaPd5Pt2 structure, as listed in Alexandria.

Structure (CIF):
```
data_TaPd5Pt2
_chemical_formula_sum 'Ta2 Pd10 Pt4'
_cell_length_a 5.647
_cell_length_b 11.240
_cell_length_c 3.931
_cell_angle_alpha 90.00
_cell_angle_beta 90.00
_cell_angle_gamma 90.00
_symmetry_space_group_name_H-M 'P b a m'
_symmetry_Int_Tables_number 55
loop_
_symmetry_equiv_pos_as_xyz
'x,y,z'
'-x,-y,-z'
'-x,-y,z'
'x,y,-z'
'x+1/2,-y+1/2,-z'
'-x+1/2,y+1/2,z'
'-x+1/2,y+1/2,-z'
'x+1/2,-y+1/2,z'
loop_
_atom_site_label
_atom_site_type_symbol
_atom_site_fract_x
_atom_site_fract_y
_atom_site_fract_z
_atom_site_occupancy
Ta1 Ta 0.000 0.000 0.000 1
Pd1 Pd 0.000 0.500 0.000 1
Pd2 Pd 0.001 0.244 0.000 1
Pd3 Pd 0.249 0.625 0.500 1
Pt1 Pt 0.243 0.880 0.500 1
```

## Properties
magnetization	0.00	μB per atom
calculated total energy	-6.619	eV per atom
formation energy from the elements	-8.81	kcal/mol of atoms

***

# 2
First-principles (PBE) data for a geometry-optimized USbPdSe structure, as listed in Alexandria.

Structure (CIF):
```
data_USbPdSe
_chemical_formula_sum 'U2 Sb2 Pd2 Se2'
_cell_length_a 4.496
_cell_length_b 4.496
_cell_length_c 8.708
_cell_angle_alpha 90.00
_cell_angle_beta 90.00
_cell_angle_gamma 90.00
_symmetry_space_group_name_H-M 'P 4/n m m'
_symmetry_Int_Tables_number 129
loop_
_symmetry_equiv_pos_as_xyz
'x,y,z'
'-x,-y,-z'
'-y+1/2,x,z'
'y+1/2,-x,-z'
'-x+1/2,-y+1/2,z'
'x+1/2,y+1/2,-z'
'y,-x+1/2,z'
'-y,x+1/2,-z'
'x+1/2,-y,-z'
'-x+1/2,y,z'
'-y,-x,-z'
'y,x,z'
'-x,y+1/2,-z'
'x,-y+1/2,z'
'y+1/2,x+1/2,-z'
'-y+1/2,-x+1/2,z'
loop_
_atom_site_label
_atom_site_type_symbol
_atom_site_fract_x
_atom_site_fract_y
_atom_site_fract_z
_atom_site_occupancy
U1 U 0.250 0.250 0.212 1
Sb1 Sb 0.250 0.250 0.674 1
Pd1 Pd 0.250 0.750 0.500 1
Se1 Se 0.250 0.750 0.000 1
```

## Properties
magnetization	0.45	μB per atom
calculated total energy	-6.664	eV per atom
formation energy from raw total energies	-0.642	eV per atom